1.
A relaxed La6TbTm8 crystal, computed with PBE.

Calculated volume = 500 Å³ per cell
Density = 7.8 Mg/m³
Symmetry = R-3 (148)
Crystal system = trigonal
Energy relative to the elements = 118 meV/atom

a b c (Å): 8.7985 8.7985 8.7985
angles (deg): 61.70 61.70 61.70
Closest atoms and distances in Å follow each position.
Element x y z (fractional)
1 La 0.0343 0.5904 0.7328  4 Tm 3.33-3.57, 1 Tb 3.48, 2 La 3.54
2 La 0.2672 0.9657 0.4096  4 Tm 3.33-3.57, 1 Tb 3.48, 2 La 3.54
3 La 0.4096 0.2672 0.9657  4 Tm 3.33-3.57, 1 Tb 3.48, 2 La 3.54
4 La 0.5904 0.7328 0.0343  4 Tm 3.33-3.57, 1 Tb 3.48, 2 La 3.54
5 La 0.7328 0.0343 0.5904  4 Tm 3.33-3.57, 1 Tb 3.48, 2 La 3.54
6 La 0.9657 0.4096 0.2672  4 Tm 3.33-3.57, 1 Tb 3.48, 2 La 3.54
7 Tb 0.5000 0.5000 0.5000  6 La 3.48, 6 Tm 3.57
8 Tm 0.0767 0.0767 0.0767  4 Tm 3.26-3.41, 3 La 3.57
9 Tm 0.2022 0.6142 0.2669  3 La 3.33-3.57, 5 Tm 3.41-3.46, 1 Tb 3.57
10 Tm 0.2669 0.2022 0.6142  3 La 3.33-3.57, 5 Tm 3.41-3.46, 1 Tb 3.57
11 Tm 0.3858 0.7331 0.7978  3 La 3.33-3.57, 5 Tm 3.41-3.46, 1 Tb 3.57
12 Tm 0.6142 0.2669 0.2022  3 La 3.33-3.57, 5 Tm 3.41-3.46, 1 Tb 3.57
13 Tm 0.7331 0.7978 0.3858  3 La 3.33-3.57, 5 Tm 3.41-3.46, 1 Tb 3.57
14 Tm 0.7978 0.3858 0.7331  3 La 3.33-3.57, 5 Tm 3.41-3.46, 1 Tb 3.57
15 Tm 0.9233 0.9233 0.9233  4 Tm 3.26-3.41, 3 La 3.57

=====

2.
A relaxed La3TbTm2 crystal, computed with PBE.

Calculated volume = 412 Å³ per cell
Density = 7.4 Mg/m³
Symmetry = C2/m (12)
ΔE to the lowest computed polymorph = 0.0000 eV per atom
Crystal system = monoclinic
Energy relative to the elements = 84 meV/atom

a b c (Å): 10.4299 10.4299 14.8909
angles (deg): 131.28 131.28 20.01
Closest atoms and distances in Å follow each position.
Element x y z (fractional)
1 La 0.0705 0.0705 0.3986  3 Tm 3.44-3.64, 7 La 3.60-3.77, 2 Tb 3.71
2 La 0.1466 0.1466 0.8964  7 La 3.60-3.71, 3 Tm 3.60-3.72, 2 Tb 3.66
3 La 0.3883 0.3883 0.3502  3 Tm 3.52-3.59, 9 La 3.62-3.77
4 La 0.6117 0.6117 0.6498  3 Tm 3.52-3.59, 9 La 3.62-3.77
5 La 0.8534 0.8534 0.1036  7 La 3.60-3.71, 3 Tm 3.60-3.72, 2 Tb 3.66
6 La 0.9295 0.9295 0.6014  3 Tm 3.44-3.64, 7 La 3.60-3.77, 2 Tb 3.71
7 Tb 0.4729 0.4729 0.8542  4 Tm 3.43-3.59, 3 Tb 3.62-3.69, 4 La 3.66-3.71
8 Tb 0.5271 0.5271 0.1458  4 Tm 3.43-3.59, 3 Tb 3.62-3.69, 4 La 3.66-3.71
9 Tm 0.2257 0.2257 0.3743  4 La 3.44-3.64, 6 Tm 3.54-3.65, 2 Tb 3.59
10 Tm 0.3076 0.3076 0.8576  2 Tb 3.43-3.58, 5 La 3.52-3.72, 4 Tm 3.54-3.62
11 Tm 0.6924 0.6924 0.1424  2 Tb 3.43-3.58, 5 La 3.52-3.72, 4 Tm 3.54-3.62
12 Tm 0.7743 0.7743 0.6257  4 La 3.44-3.64, 6 Tm 3.54-3.65, 2 Tb 3.59

=====

3.
A relaxed La6Tb2Tm crystal, computed with PBE.

Calculated volume = 319 Å³ per cell
Density = 6.9 Mg/m³
Symmetry = P-6m2 (187)
ΔE to the lowest computed polymorph = 0.0000 eV per atom
Crystal system = hexagonal
Energy relative to the elements = 57 meV/atom

a b c (Å): 3.6560 3.6560 27.5658
angles (deg): 90.00 90.00 120.00
Closest atoms and distances in Å follow each position.
Element x y z (fractional)
1 La 0.0000 0.0000 0.0656  3 Tb 3.59, 7 La 3.62-3.66
2 La 0.0000 0.0000 0.2784  3 Tb 3.64, 9 La 3.66-3.85
3 La 0.0000 0.0000 0.7216  3 Tb 3.64, 9 La 3.66-3.85
4 La 0.0000 0.0000 0.9344  3 Tb 3.59, 7 La 3.62-3.66
5 La 0.3333 0.6667 0.3954  3 Tm 3.57, 9 La 3.66-3.85
6 La 0.3333 0.6667 0.6046  3 Tm 3.57, 9 La 3.66-3.85
7 Tb 0.3333 0.6667 0.1708  6 La 3.59-3.64, 6 Tb 3.66
8 Tb 0.3333 0.6667 0.8292  6 La 3.59-3.64, 6 Tb 3.66
9 Tm 0.0000 0.0000 0.5000  6 La 3.57, 6 Tm 3.66

=====

4.
A relaxed LaTb6Tm crystal, computed with PBE.

Calculated volume = 287 Å³ per cell
Density = 7.3 Mg/m³
Symmetry = C2/m (12)
ΔE to the lowest computed polymorph = 0.3596 eV per atom
Crystal system = monoclinic
Energy relative to the elements = 388 meV/atom

a b c (Å): 5.8464 5.8464 9.0468
angles (deg): 101.07 101.07 73.06
Closest atoms and distances in Å follow each position.
Element x y z (fractional)
1 La 0.0000 0.0000 0.0000  10 Tb 3.42-3.79
2 Tb 0.0443 0.5245 0.6998  4 Tb 3.31-3.62, 2 Tm 3.37-3.45, 1 La 3.48
3 Tb 0.3744 0.3744 0.0778  3 Tb 3.02-3.31
4 Tb 0.4755 0.9557 0.3002  4 Tb 3.31-3.62, 2 Tm 3.37-3.45, 1 La 3.48
5 Tb 0.5245 0.0443 0.6998  4 Tb 3.31-3.62, 2 Tm 3.37-3.45, 1 La 3.48
6 Tb 0.6256 0.6256 0.9222  3 Tb 3.02-3.31
7 Tb 0.9557 0.4755 0.3002  4 Tb 3.31-3.62, 2 Tm 3.37-3.45, 1 La 3.48
8 Tm 0.5000 0.5000 0.5000  10 Tb 3.37-3.72